Record 1
Na3LiO after structural relaxation, computed with PBE.

a b c (Å): 4.7753 4.7753 4.7753
angles (deg): 90.00 90.00 90.00
With the nearest neighbours (Å) after each atom.
Fractional positions:
Na1 0.0000 0.0000 0.5000  2 O 2.39
Na2 0.0000 0.5000 0.0000  2 O 2.39
Na3 0.5000 0.0000 0.0000  2 O 2.39
Li1 0.5000 0.5000 0.5000  12 Na 3.38
O1 0.0000 0.0000 0.0000  6 Na 2.39

Output
* formation energy from raw total energies: -0.551 eV/atom
* relative energy among the computed polymorphs: 0 meV per atom
* calculated volume: 108.9 Å³/f.u.

Record 2
Na3Pb4O9 after structural relaxation, computed with PBE.

a b c (Å): 8.9693 8.9693 8.9693
angles (deg): 38.23 38.23 38.23
With the nearest neighbours (Å) after each atom.
Fractional positions:
Na1 0.0000 0.0000 0.0000  6 O 2.46-2.71
Na2 0.1733 0.1733 0.1733  6 O 2.46-2.70
Na3 0.5885 0.5885 0.5885  3 O 2.25
Pb1 0.3002 0.3002 0.3002  6 O 2.17-2.31
Pb2 0.4328 0.4328 0.4328  6 O 2.23-2.35
Pb3 0.7405 0.7405 0.7405  6 O 2.23-2.35
Pb4 0.8729 0.8729 0.8729  6 O 2.17-2.31
O1 0.0656 0.6196 0.4103  3 Pb 2.23-2.35, 1 Na 2.46
O2 0.1064 0.7641 0.5527  3 Pb 2.23-2.35, 1 Na 2.46
O3 0.2029 0.5867 0.9702  2 Pb 2.17, 1 Na 2.25
O4 0.4103 0.0656 0.6196  3 Pb 2.23-2.35, 1 Na 2.46
O5 0.5527 0.1064 0.7641  3 Pb 2.23-2.35, 1 Na 2.46
O6 0.5867 0.9702 0.2029  2 Pb 2.17, 1 Na 2.25
O7 0.6196 0.4103 0.0656  3 Pb 2.23-2.35, 1 Na 2.46
O8 0.7641 0.5527 0.1064  3 Pb 2.23-2.35, 1 Na 2.46
O9 0.9702 0.2029 0.5867  2 Pb 2.17, 1 Na 2.25

Output
* formation energy from raw total energies: -1.070 eV/atom
* calculated volume: 248.1 Å³/f.u.

Record 3
Ho6GeSe12 after structural relaxation, computed with PBE.

a b c (Å): 8.0748 8.0748 8.0748
angles (deg): 98.59 98.59 98.59
With the nearest neighbours (Å) after each atom.
Fractional positions:
Ho1 0.1376 0.8164 0.6358  7 Se 2.82-3.05
Ho2 0.1836 0.3642 0.8624  7 Se 2.82-3.05
Ho3 0.3642 0.8624 0.1836  7 Se 2.82-3.05
Ho4 0.6358 0.1376 0.8164  7 Se 2.82-3.05
Ho5 0.8164 0.6358 0.1376  7 Se 2.82-3.05
Ho6 0.8624 0.1836 0.3642  7 Se 2.82-3.05
Ge1 0.5000 0.5000 0.5000  6 Se 2.66
Se1 0.0713 0.9233 0.3181  4 Ho 2.82-2.90
Se2 0.0767 0.6819 0.9287  4 Ho 2.82-2.90
Se3 0.1717 0.4566 0.5211  1 Ge 2.66, 1 Se 2.94, 1 Ho 2.95
Se4 0.3181 0.0713 0.9233  4 Ho 2.82-2.90
Se5 0.4566 0.5211 0.1717  1 Ge 2.66, 1 Se 2.94, 1 Ho 2.95
Se6 0.4789 0.8283 0.5434  1 Ge 2.66, 1 Se 2.94, 1 Ho 2.95
Se7 0.5211 0.1717 0.4566  1 Ge 2.66, 1 Se 2.94, 1 Ho 2.95
Se8 0.5434 0.4789 0.8283  1 Ge 2.66, 1 Se 2.94, 1 Ho 2.95
Se9 0.6819 0.9287 0.0767  4 Ho 2.82-2.90
Se10 0.8283 0.5434 0.4789  1 Ge 2.66, 1 Se 2.94, 1 Ho 2.95
Se11 0.9233 0.3181 0.0713  4 Ho 2.82-2.90
Se12 0.9287 0.0767 0.6819  4 Ho 2.82-2.90

Output
* formation energy from raw total energies: -1.406 eV/atom
* calculated volume: 506.8 Å³/f.u.

Record 4
SrCa2TmTe4 after structural relaxation, computed with PBE.

a b c (Å): 7.7895 4.4905 7.8393
angles (deg): 90.00 109.25 90.00
With the nearest neighbours (Å) after each atom.
Fractional positions:
Sr1 0.0000 0.0000 0.0000  6 Te 3.24-3.25
Ca1 0.5000 0.0000 0.5000  6 Te 3.13
Ca2 0.5000 0.5000 0.0000  6 Te 3.25-3.26
Tm1 0.0000 0.5000 0.5000  6 Te 3.12-3.13
Te1 0.2452 0.0000 0.7364  2 Tm 3.13, 3 Ca 3.13-3.25, 1 Sr 3.24
Te2 0.2536 0.5000 0.2643  1 Tm 3.12, 3 Ca 3.13-3.26, 2 Sr 3.25
Te3 0.7464 0.5000 0.7357  1 Tm 3.12, 3 Ca 3.13-3.26, 2 Sr 3.25
Te4 0.7548 0.0000 0.2636  2 Tm 3.13, 3 Ca 3.13-3.25, 1 Sr 3.24

Output
* formation energy from raw total energies: -1.527 eV/atom
* calculated volume: 258.9 Å³/f.u.